[1]
La2Sm2DyCd5 | PBE-GGA | relaxed

a b c (Å): 10.775 10.775 4.857
angles (deg): 90.00 90.00 90.00
Space group P4/mbm (No. 127)
Inequivalent atoms, fractional coordinates:
1 La 0.175 0.325 0.000 x4
2 Sm 0.125 0.625 0.000 x4
3 Dy 0.000 0.000 0.000 x2
4 Cd 0.000 0.500 0.500 x2
5 Cd 0.066 0.809 0.500 x8

Results
formation energy	-0.205	eV per atom
V	28.2	Å³ per atom

***

[2]
La2SmDy2Cd5 | PBE-GGA | relaxed

a b c (Å): 10.755 10.755 4.836
angles (deg): 90.00 90.00 90.00
Space group P4/mbm (No. 127)
Inequivalent atoms, fractional coordinates:
1 La 0.176 0.324 0.000 x4
2 Sm 0.000 0.000 0.000 x2
3 Dy 0.122 0.622 0.000 x4
4 Cd 0.000 0.500 0.500 x2
5 Cd 0.068 0.803 0.500 x8

Results
formation energy	-0.214	eV per atom
V	28.0	Å³ per atom

***

[3]
La2Sm2DyCd | PBE-GGA | relaxed

a b c (Å): 6.649 10.057 5.814
angles (deg): 90.00 90.00 90.00
Space group Pnnm (No. 58)
Inequivalent atoms, fractional coordinates:
1 La 0.209 0.141 0.000 x4
2 Sm 0.202 0.298 0.500 x4
3 Dy 0.000 0.500 0.000 x2
4 Cd 0.000 0.000 0.500 x2

Results
formation energy	0.041	eV per atom
V	32.4	Å³ per atom

***

[4]
LaTbDyCd | PBE-GGA | relaxed

a b c (Å): 3.664 3.664 9.072
angles (deg): 90.00 90.00 90.00
Space group P4mm (No. 99)
Inequivalent atoms, fractional coordinates:
1 La 0.000 0.000 0.000 x1
2 Tb 0.500 0.500 0.716 x1
3 Dy 0.500 0.500 0.282 x1
4 Cd 0.000 0.000 0.498 x1

Results
energy relative to the lowest polymorph listed for this composition	0.0	meV per atom
formation energy	-0.141	eV per atom
V	30.4	Å³ per atom

***

no.,energy (eV/cell)
1,-61.0
2,-61.0
3,-49.1
4,-15.6